(1)
This record from OQMD via LeMat-Bulk describes crystalline PuZr3 at its relaxed geometry. The functional is GGA-PBE.

Summary:
calculated volume = 22.61 A^3/atom
formation energy from the elements = 0.471 eV per atom
DFT total energy = -75.770 eV/cell
distance to the lowest polymorph of the same formula = 191 meV/atom

a b c (Å): 5.222 6.218 5.571
angles (deg): 90.00 90.00 90.00
Atoms (fractional coordinates):
1 Pu 0.250 0.250 0.135
2 Pu 0.750 0.750 0.865
3 Zr 0.250 0.008 0.642
4 Zr 0.250 0.492 0.642
5 Zr 0.250 0.750 0.130
6 Zr 0.750 0.250 0.870
7 Zr 0.750 0.508 0.358
8 Zr 0.750 0.992 0.358

=====

(2)
This record from OQMD via LeMat-Bulk describes crystalline PuZr2 at its relaxed geometry. The functional is GGA-PBE.

Summary:
calculated volume = 23.78 A^3/atom
formation energy from the elements = 0.031 eV per atom
DFT total energy = -62.254 eV/cell

a b c (Å): 5.595 5.595 5.263
angles (deg): 90.00 90.00 120.00
Atoms (fractional coordinates):
1 Pu 0.333 0.667 0.000
2 Pu 0.667 0.333 0.000
3 Zr 0.000 0.000 0.000
4 Zr 0.000 0.329 0.500
5 Zr 0.329 0.000 0.500
6 Zr 0.671 0.671 0.500

=====

(3)
This record from OQMD via LeMat-Bulk describes crystalline PuZr2 at its relaxed geometry. The functional is GGA-PBE.

Summary:
calculated volume = 23.91 A^3/atom
formation energy from the elements = 0.031 eV per atom
DFT total energy = -62.255 eV/cell

a b c (Å): 8.594 8.594 5.315
angles (deg): 90.00 90.00 158.56
Atoms (fractional coordinates):
1 Pu 0.053 0.947 0.750
2 Pu 0.947 0.053 0.250
3 Zr 0.280 0.720 0.250
4 Zr 0.382 0.618 0.750
5 Zr 0.618 0.382 0.250
6 Zr 0.720 0.280 0.750

=====

(4)
This record from OQMD via LeMat-Bulk describes crystalline Pu2Zr at its relaxed geometry. The functional is GGA-PBE.

Summary:
calculated volume = 66.50 A^3/atom
formation energy from the elements = 2.335 eV per atom
DFT total energy = -59.590 eV/cell

a b c (Å): 8.263 8.263 8.263
angles (deg): 60.00 60.00 60.00
Atoms (fractional coordinates):
1 Pu 0.000 0.000 0.000
2 Pu 0.000 0.000 0.500
3 Pu 0.000 0.500 0.000
4 Pu 0.500 0.000 0.000
5 Zr 0.125 0.125 0.125
6 Zr 0.875 0.875 0.875

=====

Which formula does entry 4 have?
Pu2Zr

=====

Which value of formation energy from the elements does entry 3 give?
0.031 eV per atom

=====

Number 1 is which compound?
PuZr3

=====

Among the records above, which one has the highest DFT total energy?
Pu2Zr